Density functional theory data (GGA-PBE) for a relaxed structure of TbGa3Ni3.

The space group is Pm-3n (No. 223) and the conventional cell measures 6.419, 6.419 and 6.419 Å, with angles of 90.00, 90.00 and 90.00 degrees. The asymmetric unit holds Tb at (0.000, 0.000, 0.000), Ga at (0.000, 0.250, 0.500) and Ni at (0.000, 0.500, 0.250).

The calculation puts the polymorph energy (0 for the lowest one) at 294 meV per atom. The formation energy is -49 meV per atom.